First-principles (PBE) data for KMnP after structural relaxation, as listed in Alexandria.

Cell lengths 3.7974, 3.7974, 10.6138 Å; angles 90.00, 90.00, 90.00 degrees
With the nearest neighbours (Å) after each atom.
Positions (direct):
P 0.0000 0.5000 0.8802  4 Mn 2.28
Mn 0.0000 0.0000 0.0000  4 P 2.28
K 0.5000 0.0000 0.7035  4 P 3.28
Mn 0.5000 0.5000 0.0000  4 P 2.28
P 0.5000 0.0000 0.1198  4 Mn 2.28
K 0.0000 0.5000 0.2965  4 P 3.28

Results
- ΔE_f (eV/atom) = -0.43
- calculated total energy (eV/atom) = -5.6513

First-principles (PBE) data for K2MnP after structural relaxation, as listed in Alexandria.

Cell lengths 4.3657, 4.3657, 5.2271 Å; angles 90.00, 90.00, 90.00 degrees
With the nearest neighbours (Å) after each atom.
Positions (direct):
P 0.0000 0.5000 0.5000  4 Mn 3.09, 8 K 3.41
K 0.5000 0.5000 0.0000  4 K 3.09, 4 Mn 3.41, 4 P 3.41
K 0.0000 0.0000 0.0000  4 K 3.09, 4 P 3.41, 4 Mn 3.41
Mn 0.5000 0.0000 0.5000  4 P 3.09, 8 K 3.41

Results
- ΔE_f (eV/atom) = 0.46
- calculated total energy (eV/atom) = -3.7344

First-principles (PBE) data for KMnP2 after structural relaxation, as listed in Alexandria.

Cell lengths 5.3938, 5.3938, 5.3938 Å; angles 134.89, 103.69, 93.30 degrees
With the nearest neighbours (Å) after each atom.
Positions (direct):
K 0.7500 0.2500 0.5000  8 P 3.31-3.51, 2 Mn 3.70
P 0.0994 0.0994 0.0000  1 P 2.23, 2 Mn 2.35
Mn 0.2500 0.7500 0.5000  4 P 2.35
P 0.4006 0.4006 0.0000  1 P 2.23, 2 Mn 2.35

Results
- ΔE_f (eV/atom) = -0.06
- polymorph energy (0 for the lowest one) (meV/atom) = 260
- calculated total energy (eV/atom) = -5.3347